Below is a geometry-optimized MnCrAs2 structure, with properties calculated at the GGA-PBE level.

Unit cell a=3.441 b=3.441 c=5.145 alpha=90.00 beta=90.00 gamma=90.00
Last column: magnetic moment on the atom in μB.
Sites, in units of the cell vectors:
As: 0.000 0.000 0.934  -0.13
As: 0.500 0.500 0.316  -0.14
Cr: 0.000 0.000 0.453  2.43
Mn: 0.500 0.500 0.797  2.79

## Properties
The density of states at the Fermi level comes out at 1.78 states/eV/f.u. The energy relative to the elements is -0.38 eV/f.u. Its energy above the most stable polymorph in this dataset is 0.000 eV per atom.

---

Below is a geometry-optimized ScMo2Cl structure, with properties calculated at the GGA-PBE level.

Unit cell a=3.636 b=3.636 c=11.497 alpha=80.90 beta=80.90 gamma=90.00
Sites, in units of the cell vectors:
Sc: 0.000 0.000 0.000
Sc: 0.750 0.250 0.500
Mo: 0.641 0.125 0.250
Mo: 0.109 0.625 0.250
Mo: 0.375 0.359 0.750
Mo: 0.875 0.891 0.750
Cl: 0.500 0.500 0.000
Cl: 0.250 0.750 0.500

## Properties
The density of states at the Fermi level comes out at 2.76 states/eV/f.u. The value obtained for the uncorrected formation energy is 102.3 kJ/mol of formula units. Its energy above the most stable polymorph in this dataset is 0.494 eV per atom.

---

Below is a geometry-optimized NaAcAu3 structure, with properties calculated at the GGA-PBE level.

Unit cell a=3.922 b=4.820 c=13.892 alpha=90.00 beta=98.11 gamma=90.00
Sites, in units of the cell vectors:
Na: 0.211 0.750 0.423
Na: 0.789 0.250 0.577
Ac: 0.923 0.750 0.846
Ac: 0.077 0.250 0.154
Au: 0.626 0.750 0.252
Au: 0.374 0.250 0.748
Au: 0.525 0.750 0.050
Au: 0.475 0.250 0.950
Au: 0.677 0.250 0.355
Au: 0.323 0.750 0.645

## Properties
The density of states at the Fermi level comes out at 2.72 states/eV/f.u. The energy relative to the elements is -3.03 eV/f.u. Its energy above the most stable polymorph in this dataset is 0.000 eV per atom.

---

Below is a geometry-optimized Cs2RbRuAu structure, with properties calculated at the GGA-PBE level.

Unit cell a=7.322 b=5.104 c=7.322 alpha=90.00 beta=90.00 gamma=90.00
Last column: magnetic moment on the atom in μB.
Sites, in units of the cell vectors:
Cs: 0.000 0.000 0.500  -0.01
Cs: 0.500 0.000 0.000  0.00
Ru: 0.000 0.500 0.000  1.10
Au: 0.500 0.500 0.500  0.00
Rb: 0.000 0.000 0.000  0.00

## Properties
The density of states at the Fermi level comes out at 0.90 states/eV/f.u. The energy relative to the elements is 5.43 eV/f.u.

---

Below is a geometry-optimized GdCu4Ge structure, with properties calculated at the GGA-PBE level.

Unit cell a=5.094 b=5.094 c=5.094 alpha=60.00 beta=60.00 gamma=60.00
Last column: magnetic moment on the atom in μB.
Sites, in units of the cell vectors:
Ge: 0.000 0.000 0.000  -0.02
Gd: 0.250 0.250 0.250  6.99
Cu: 0.625 0.625 0.124  0.01
Cu: 0.625 0.124 0.625  0.01
Cu: 0.625 0.625 0.625  0.01
Cu: 0.124 0.625 0.625  0.01

## Properties
The density of states at the Fermi level comes out at 3.87 states/eV/f.u. The energy relative to the elements is -1.02 eV/f.u.

---

Below is a geometry-optimized MnPRu structure, with properties calculated at the GGA-PBE level.

Unit cell a=4.255 b=4.255 c=4.255 alpha=141.81 beta=127.93 gamma=66.38
Last column: magnetic moment on the atom in μB.
Sites, in units of the cell vectors:
Mn: 0.992 0.992 0.000  0.53
P: 0.669 0.669 0.000  -0.01
Ru: 0.339 0.339 0.000  -0.04

## Properties
The density of states at the Fermi level comes out at 2.87 states/eV/f.u. The energy relative to the elements is -0.09 eV/f.u.

---

Below is a geometry-optimized Mn21Mo2N6 structure, with properties calculated at the GGA-PBE level.

Unit cell a=7.397 b=7.397 c=7.397 alpha=60.00 beta=60.00 gamma=60.00
Last column: magnetic moment on the atom in μB.
Sites, in units of the cell vectors:
Mn: 0.000 0.000 0.000  -1.26
Mn: 0.616 0.616 0.152  1.18
Mn: 0.616 0.616 0.616  1.18
Mn: 0.616 0.152 0.616  1.18
Mn: 0.152 0.616 0.616  1.18
Mn: 0.384 0.384 0.848  1.18
Mn: 0.384 0.384 0.384  1.18
Mn: 0.384 0.848 0.384  1.18
Mn: 0.848 0.384 0.384  1.18
Mn: 0.669 0.000 0.331  0.72
Mn: 0.000 0.669 0.331  0.72
Mn: 0.000 0.000 0.331  0.72
Mn: 0.000 0.669 0.000  0.72
Mn: 0.669 0.000 0.000  0.72
Mn: 0.000 0.000 0.669  0.72
Mn: 0.000 0.331 0.000  0.72
Mn: 0.000 0.331 0.669  0.72
Mn: 0.669 0.331 0.000  0.72
Mn: 0.331 0.000 0.669  0.72
Mn: 0.331 0.000 0.000  0.72
Mn: 0.331 0.669 0.000  0.72
Mo: 0.750 0.750 0.750  -0.43
Mo: 0.250 0.250 0.250  -0.43
N: 0.274 0.726 0.274  -0.07
N: 0.726 0.274 0.274  -0.07
N: 0.726 0.726 0.274  -0.07
N: 0.726 0.274 0.726  -0.07
N: 0.274 0.726 0.726  -0.07
N: 0.274 0.274 0.726  -0.07

## Properties
The density of states at the Fermi level comes out at 30.19 states/eV/f.u. The value obtained for the uncorrected formation energy is -170.2 kJ/mol of formula units.

---

Below is a geometry-optimized Tm4Si2Ge5 structure, with properties calculated at the GGA-PBE level.

Unit cell a=4.054 b=6.847 c=8.066 alpha=86.35 beta=90.00 gamma=90.00
Sites, in units of the cell vectors:
Tm: 0.500 0.241 0.604
Tm: 0.500 0.772 0.870
Tm: 0.500 0.759 0.396
Tm: 0.500 0.228 0.130
Si: 0.000 0.912 0.630
Si: 0.000 0.088 0.370
Ge: 0.000 0.450 0.342
Ge: 0.000 0.868 0.128
Ge: 0.000 0.500 0.000
Ge: 0.000 0.132 0.872
Ge: 0.000 0.550 0.658

## Properties
The density of states at the Fermi level comes out at 2.68 states/eV/f.u. The value obtained for the uncorrected formation energy is -666.6 kJ/mol of formula units.

---

Below is a geometry-optimized Sm6Sb3N structure, with properties calculated at the GGA-PBE level.

Unit cell a=7.167 b=9.456 c=9.456 alpha=100.90 beta=90.00 gamma=90.00
Last column: magnetic moment on the atom in μB.
Sites, in units of the cell vectors:
Sm: 0.195 0.694 0.632  0.15
Sm: 0.695 0.632 0.694  0.15
Sm: 0.170 0.417 0.892  0.12
Sm: 0.670 0.892 0.417  0.12
Sm: 0.146 0.053 0.947  0.09
Sm: 0.716 0.226 0.774  0.16
Sm: 0.216 0.774 0.226  0.16
Sm: 0.646 0.947 0.053  0.09
Sm: 0.170 0.108 0.583  0.12
Sm: 0.670 0.583 0.108  0.12
Sm: 0.195 0.368 0.306  0.15
Sm: 0.695 0.306 0.368  0.15
Sb: 0.481 0.934 0.728  0.00
Sb: 0.981 0.728 0.934  0.00
Sb: 0.401 0.389 0.611  -0.01
Sb: 0.901 0.611 0.389  -0.01
Sb: 0.981 0.066 0.272  0.00
Sb: 0.481 0.272 0.066  0.00
N: 0.031 0.198 0.802  -0.01
N: 0.531 0.802 0.198  -0.01

## Properties
The density of states at the Fermi level comes out at 9.82 states/eV/f.u. The value obtained for the uncorrected formation energy is -851.4 kJ/mol of formula units.

---

Below is a geometry-optimized Ca2TmThAs4 structure, with properties calculated at the GGA-PBE level.

Unit cell a=4.241 b=7.268 c=7.325 alpha=109.58 beta=90.00 gamma=90.00
Sites, in units of the cell vectors:
Ca: 0.500 0.000 0.500
Ca: 0.000 0.500 0.500
Tm: 0.000 0.000 0.000
Th: 0.500 0.500 0.000
As: 0.500 0.240 0.236
As: 0.500 0.760 0.764
As: 0.000 0.247 0.759
As: 0.000 0.753 0.241

## Properties
The density of states at the Fermi level comes out at 6.50 states/eV/f.u. The energy relative to the elements is -10.10 eV/f.u.

---

Below is a geometry-optimized TbDy2Sc6 structure, with properties calculated at the GGA-PBE level.

Unit cell a=3.284 b=9.656 c=9.200 alpha=121.65 beta=100.30 gamma=90.00
Sites, in units of the cell vectors:
Tb: 0.000 0.000 0.000
Dy: 0.156 0.656 0.311
Dy: 0.844 0.344 0.689
Sc: 0.178 0.345 0.356
Sc: 0.822 0.989 0.644
Sc: 0.822 0.655 0.644
Sc: 0.500 0.313 0.000
Sc: 0.178 0.011 0.356
Sc: 0.500 0.687 0.000

## Properties
The density of states at the Fermi level comes out at 17.53 states/eV/f.u. The energy relative to the elements is 1.21 eV/f.u. Its energy above the most stable polymorph in this dataset is 0.055 eV per atom.

---

Below is a geometry-optimized PtWCl structure, with properties calculated at the GGA-PBE level.

Unit cell a=4.379 b=4.379 c=2.867 alpha=90.00 beta=90.00 gamma=120.00
Sites, in units of the cell vectors:
Cl: 0.000 0.000 0.832
Pt: 0.667 0.333 0.333
W: 0.333 0.667 0.834

## Properties
The density of states at the Fermi level comes out at 4.10 states/eV/f.u. The value obtained for the uncorrected formation energy is 171.4 kJ/mol of formula units. Its energy above the most stable polymorph in this dataset is 0.500 eV per atom.

---

| no. | total magnetic moment (μB per formula unit) |
| --- | --- |
| 1 | 5.10 |
| 2 | 0.00 |
| 3 | 0.00 |
| 4 | 1.17 |
| 5 | 7.12 |
| 6 | 0.49 |
| 7 | 15.63 |
| 8 | 0.00 |
| 9 | 1.96 |
| 10 | 0.00 |
| 11 | 0.00 |
| 12 | 0.00 |